(1)
! Pm5Tl2Pb4 | the Alexandria database | PBE-GGA | relaxed; values from VASP
! M_tot in μB per cell: 0.000
! Energy of formation in eV per atom: -0.105
&SYSTEM
  ibrav = 0, nat = 11, ntyp = 3
/
ATOMIC_SPECIES
Pm 145.00 Pm.upf
Tl 204.38 Tl.upf
Pb 207.20 Pb.upf
ATOMIC_POSITIONS angstrom
Pm 0.000 0.000 0.000
Pm 6.272 0.000 5.916
Pm 8.499 0.000 1.094
Pm 15.376 0.000 7.120
Pm 17.603 0.000 2.299
Tl 9.472 0.000 6.424
Tl 14.402 0.000 1.790
Pb 3.463 0.000 4.334
Pb 11.270 0.000 2.752
Pb 12.605 0.000 5.462
Pb 20.412 0.000 3.880
CELL_PARAMETERS angstrom
12.182 -1.801 0.000
12.182 1.801 0.000
-0.489 0.000 8.214

(2)
! Pm3DyMg2 | the Alexandria database | PBE-GGA | relaxed; values from VASP
! M_tot in μB per cell: 0.000
! Energy of formation in eV per atom: -0.054
&SYSTEM
  ibrav = 0, nat = 6, ntyp = 3
/
ATOMIC_SPECIES
Pm 145.00 Pm.upf
Dy 162.50 Dy.upf
Mg 24.30 Mg.upf
ATOMIC_POSITIONS angstrom
Pm 0.000 0.000 0.000
Pm 0.000 0.000 3.954
Pm 0.000 0.000 8.799
Dy 1.888 1.888 6.376
Mg 1.888 1.888 1.970
Mg 1.888 1.888 10.783
CELL_PARAMETERS angstrom
3.776 0.000 0.000
0.000 3.776 0.000
0.000 0.000 12.753

(3)
! YZn5CdAu2 | the Alexandria database | PBE-GGA | relaxed; values from VASP
! M_tot in μB per cell: 0.000
! Energy of formation in eV per atom: -0.045
&SYSTEM
  ibrav = 0, nat = 9, ntyp = 4
/
ATOMIC_SPECIES
Y 88.91 Y.upf
Zn 65.41 Zn.upf
Cd 112.41 Cd.upf
Au 196.97 Au.upf
ATOMIC_POSITIONS angstrom
Y 0.000 0.000 0.000
Zn 0.000 2.426 1.828
Zn 0.000 2.426 5.867
Zn 2.426 0.000 1.828
Zn 2.426 0.000 5.867
Zn 2.426 2.426 0.000
Cd 0.000 0.000 3.847
Au 2.426 2.426 2.528
Au 2.426 2.426 5.166
CELL_PARAMETERS angstrom
4.853 0.000 0.000
0.000 4.853 0.000
0.000 0.000 7.694

(4)
! K8Au2SO | the Alexandria database | PBE-GGA | relaxed; values from VASP
! Total energy in eV per atom: -2.62
! M_tot in μB per cell: 0.000
&SYSTEM
  ibrav = 0, nat = 12, ntyp = 4
/
ATOMIC_SPECIES
K 39.10 K.upf
Au 196.97 Au.upf
S 32.06 S.upf
O 16.00 O.upf
ATOMIC_POSITIONS angstrom
K 1.424 1.911 1.220
K 1.424 6.782 1.220
K 1.324 0.000 5.654
K 1.876 4.347 5.290
K 5.339 4.347 2.338
K 5.891 0.000 1.974
K 5.791 1.911 6.408
K 5.791 6.782 6.408
Au 3.607 1.505 3.814
Au 3.607 7.188 3.814
S 0.000 4.347 0.000
O 0.000 0.000 0.000
CELL_PARAMETERS angstrom
7.537 0.000 0.000
0.000 8.693 0.000
-0.322 0.000 7.628

(5)
! GdBeIr | the Alexandria database | PBE-GGA | relaxed; values from VASP
! M_tot in μB per cell: 7.095
! Energy of formation in eV per atom: -0.637
&SYSTEM
  ibrav = 0, nat = 3, ntyp = 3
/
ATOMIC_SPECIES
Gd 157.25 Gd.upf
Be 9.01 Be.upf
Ir 192.22 Ir.upf
ATOMIC_POSITIONS angstrom
Gd 0.000 0.000 0.000
Be 1.967 1.136 2.028
Ir 0.000 2.272 2.028
CELL_PARAMETERS angstrom
3.934 0.000 0.000
-1.967 3.407 0.000
0.000 0.000 4.056

(6)
! VBBr2 | the Alexandria database | PBE-GGA | relaxed; values from VASP
! M_tot in μB per cell: 3.760
! Energy above the most stable polymorph in this dataset in kJ/mol of formula units: 248.3
&SYSTEM
  ibrav = 0, nat = 4, ntyp = 3
/
ATOMIC_SPECIES
V 50.94 V.upf
B 10.81 B.upf
Br 79.90 Br.upf
ATOMIC_POSITIONS angstrom
V 0.000 0.000 0.000
B 3.370 3.370 3.370
Br 1.685 1.685 1.685
Br 5.054 5.054 5.054
CELL_PARAMETERS angstrom
0.000 3.370 3.370
3.370 0.000 3.370
3.370 3.370 0.000

(7)
! ZrNb3Ga | the Alexandria database | PBE-GGA | relaxed; values from VASP
! M_tot in μB per cell: 0.000
! Energy of formation in eV per atom: 0.840
! Energy above the most stable polymorph in this dataset in kJ/mol of formula units: 0.0
&SYSTEM
  ibrav = 0, nat = 5, ntyp = 3
/
ATOMIC_SPECIES
Zr 91.22 Zr.upf
Nb 92.91 Nb.upf
Ga 69.72 Ga.upf
ATOMIC_POSITIONS angstrom
Zr 0.000 0.000 0.000
Nb 0.000 2.396 2.396
Nb 2.396 0.000 2.396
Nb 2.396 2.396 0.000
Ga 2.396 2.396 2.396
CELL_PARAMETERS angstrom
4.792 0.000 0.000
0.000 4.792 0.000
0.000 0.000 4.792

(8)
! NdZr2Hg | the Alexandria database | PBE-GGA | relaxed; values from VASP
! M_tot in μB per cell: 0.000
! Energy of formation in eV per atom: 0.248
&SYSTEM
  ibrav = 0, nat = 4, ntyp = 3
/
ATOMIC_SPECIES
Nd 144.24 Nd.upf
Zr 91.22 Zr.upf
Hg 200.59 Hg.upf
ATOMIC_POSITIONS angstrom
Nd 0.000 0.000 0.000
Zr 0.000 0.000 3.212
Zr 0.000 0.000 31.137
Hg 0.000 0.000 17.174
CELL_PARAMETERS angstrom
1.601 0.924 11.450
-1.601 0.924 11.450
0.000 -1.849 11.450

(9)
! Ba2LiLaIr | the Alexandria database | PBE-GGA | relaxed; values from VASP
! M_tot in μB per cell: 0.000
! Energy of formation in eV per atom: -0.142
&SYSTEM
  ibrav = 0, nat = 5, ntyp = 4
/
ATOMIC_SPECIES
Ba 137.33 Ba.upf
Li 6.94 Li.upf
La 138.91 La.upf
Ir 192.22 Ir.upf
ATOMIC_POSITIONS angstrom
Ba 0.000 3.168 0.000
Ba 3.168 0.000 0.000
Li 0.000 0.000 2.737
La 3.168 3.168 2.737
Ir 3.168 3.168 0.000
CELL_PARAMETERS angstrom
6.335 0.000 0.000
0.000 6.335 0.000
0.000 0.000 5.475

(10)
! ZnTcPb2 | the Alexandria database | PBE-GGA | relaxed; values from VASP
! M_tot in μB per cell: 1.798
! Energy of formation in eV per atom: 0.645
&SYSTEM
  ibrav = 0, nat = 4, ntyp = 3
/
ATOMIC_SPECIES
Zn 65.41 Zn.upf
Tc 98.00 Tc.upf
Pb 207.20 Pb.upf
ATOMIC_POSITIONS angstrom
Zn 0.000 0.000 0.000
Tc 0.000 2.092 2.477
Pb 2.092 0.000 2.477
Pb 0.000 0.000 4.955
CELL_PARAMETERS angstrom
-2.092 2.092 4.955
2.092 -2.092 4.955
2.092 2.092 -4.955

(11)
! Dy2NbRu3 | the Alexandria database | PBE-GGA | relaxed; values from VASP
! M_tot in μB per cell: 0.000
! Energy of formation in eV per atom: -0.359
&SYSTEM
  ibrav = 0, nat = 12, ntyp = 3
/
ATOMIC_SPECIES
Dy 162.50 Dy.upf
Nb 92.91 Nb.upf
Ru 101.07 Ru.upf
ATOMIC_POSITIONS angstrom
Dy 0.000 0.000 0.000
Dy 0.000 0.000 3.363
Dy 2.342 2.325 0.000
Dy 2.342 -2.325 0.000
Nb 2.342 2.356 3.363
Nb 2.342 -2.356 3.363
Ru 2.342 4.580 1.840
Ru 2.342 4.580 4.886
Ru 2.342 0.000 1.797
Ru 2.342 0.000 4.929
Ru 2.342 -4.580 1.840
Ru 2.342 -4.580 4.886
CELL_PARAMETERS angstrom
2.342 -7.009 0.000
2.342 7.009 0.000
0.000 0.000 6.726

(12)
! AgTe2Os | the Alexandria database | PBE-GGA | relaxed; values from VASP
! M_tot in μB per cell: 0.000
! Energy above the most stable polymorph in this dataset in kJ/mol of formula units: 0.0
&SYSTEM
  ibrav = 0, nat = 4, ntyp = 3
/
ATOMIC_SPECIES
Ag 107.87 Ag.upf
Te 127.60 Te.upf
Os 190.23 Os.upf
ATOMIC_POSITIONS angstrom
Ag 0.000 0.000 0.000
Te 0.000 0.000 2.697
Te 0.000 0.000 21.739
Os 0.000 0.000 12.218
CELL_PARAMETERS angstrom
1.982 1.144 8.145
-1.982 1.144 8.145
0.000 -2.288 8.145